BaSc3Pb (PBE, relaxed); calculated volume = 35.95 Å³/atom; DOS(E_F) = 2.91 states/eV per atom; formation energy = 0.337 eV/atom; ΔE to the lowest computed polymorph = 0 meV/atom; uncorrected energy = -0.169 hartree per atom; total magnetization = 1.524 μB per formula unit
1.0
5.644 0.000 0.000
0.000 5.644 0.000
0.000 0.000 5.644
Ba Sc Pb
1 3 1
Cartesian
0.000 0.000 0.000 Ba
0.000 2.822 2.822 Sc
2.822 0.000 2.822 Sc
2.822 2.822 0.000 Sc
2.822 2.822 2.822 Pb